No. 1
# UAl2Cu3

UAl2Cu3 after structural relaxation (PBE, the Alexandria database).

Unit cell a=5.273 b=5.273 c=4.003 alpha=90.00 beta=90.00 gamma=120.00
Each line ends with the local moment (μB).
Fractional positions:
1 Cu 0.000 0.500 0.500  0.02
2 U 0.000 0.000 0.000  2.50
3 Cu 0.500 0.000 0.500  0.02
4 Al 0.333 0.667 0.000  0.01
5 Cu 0.500 0.500 0.500  0.02
6 Al 0.667 0.333 0.000  0.01

## Properties
DFT total energy in eV/atom: -5.206
SG: P6/mmm (191)
Spin magnetization in μB/f.u.: 2.969
Crystal system: hexagonal

=====

No. 2
# UAl11Cu

UAl11Cu after structural relaxation (PBE, the Alexandria database).

Unit cell a=5.253 b=7.011 c=6.838 alpha=82.46 beta=67.41 gamma=70.01
Each line ends with the local moment (μB).
Fractional positions:
1 Al 0.999 0.646 0.351  -0.01
2 Al 0.291 0.219 0.211  0.00
3 Al 0.000 0.500 0.000  -0.01
4 Al 0.001 0.354 0.649  -0.01
5 Al 0.503 0.219 0.789  0.00
6 Al 0.709 0.781 0.789  0.00
7 Al 0.497 0.781 0.211  0.00
8 Al 0.500 0.000 0.500  -0.01
9 Al 0.350 0.646 0.649  -0.01
10 U 0.000 0.000 0.000  2.21
11 Cu 0.500 0.500 0.000  -0.01
12 Al 0.000 0.000 0.500  -0.01
13 Al 0.650 0.354 0.351  -0.01

## Properties
DFT total energy in eV/atom: -4.401
SG: C2/m (12)
Spin magnetization in μB/f.u.: 2.336
Crystal system: monoclinic